# 1
# Li2ErAu3 | Alexandria via LeMat-Bulk | PBE-GGA | optimized geometry
data_Li2ErAu3
_chemical_formula_sum 'Li4 Er2 Au6'
_symmetry_space_group_name_H-M 'P 1'
_symmetry_Int_Tables_number 1
_symmetry_space_group_name_Hall 'P 1'
_cell_length_a 4.552
_cell_length_b 4.552
_cell_length_c 12.378
_cell_angle_alpha 90.00
_cell_angle_beta 90.00
_cell_angle_gamma 120.00
loop_
_atom_site_label
_atom_site_type_symbol
_atom_site_fract_x
_atom_site_fract_y
_atom_site_fract_z
_atom_site_occupancy
Au1 Au 0.667 0.333 0.563 1
Au2 Au 0.333 0.667 0.923 1
Au3 Au 0.000 0.000 0.789 1
Au4 Au 0.000 0.000 0.211 1
Au5 Au 0.333 0.667 0.437 1
Au6 Au 0.667 0.333 0.077 1
Er1 Er 0.333 0.667 0.679 1
Er2 Er 0.667 0.333 0.321 1
Li1 Li 0.333 0.667 0.144 1
Li2 Li 0.000 0.000 0.000 1
Li3 Li 0.667 0.333 0.856 1
Li4 Li 0.000 0.000 0.500 1
# DFT total energy: -0.272 Ry per atom
# V: 18.51 Å³/atom
# formation energy: -0.67 eV per atom

# 2
# LiErAu2 | Alexandria via LeMat-Bulk | PBE-GGA | optimized geometry
data_LiErAu2
_chemical_formula_sum 'Li1 Er1 Au2'
_symmetry_space_group_name_H-M 'P 1'
_symmetry_Int_Tables_number 1
_symmetry_space_group_name_Hall 'P 1'
_cell_length_a 3.511
_cell_length_b 3.511
_cell_length_c 6.322
_cell_angle_alpha 90.00
_cell_angle_beta 90.00
_cell_angle_gamma 90.00
loop_
_atom_site_label
_atom_site_type_symbol
_atom_site_fract_x
_atom_site_fract_y
_atom_site_fract_z
_atom_site_occupancy
Li1 Li 0.500 0.500 0.000 1
Au1 Au 0.000 0.000 0.227 1
Au2 Au 0.000 0.000 0.773 1
Er1 Er 0.500 0.500 0.500 1
# DFT total energy: -0.292 Ry per atom
# V: 19.48 Å³/atom
# formation energy: -0.71 eV per atom

# 3
# LiEr4Au5 | Alexandria via LeMat-Bulk | PBE-GGA | optimized geometry
data_LiEr4Au5
_chemical_formula_sum 'Li1 Er4 Au5'
_symmetry_space_group_name_H-M 'P 1'
_symmetry_Int_Tables_number 1
_symmetry_space_group_name_Hall 'P 1'
_cell_length_a 3.527
_cell_length_b 3.527
_cell_length_c 17.210
_cell_angle_alpha 90.00
_cell_angle_beta 90.00
_cell_angle_gamma 90.00
loop_
_atom_site_label
_atom_site_type_symbol
_atom_site_fract_x
_atom_site_fract_y
_atom_site_fract_z
_atom_site_occupancy
Li1 Li 0.000 0.000 0.000 1
Au1 Au 0.500 0.500 0.084 1
Au2 Au 0.500 0.500 0.709 1
Au3 Au 0.500 0.500 0.916 1
Au4 Au 0.500 0.500 0.291 1
Au5 Au 0.500 0.500 0.500 1
Er1 Er 0.000 0.000 0.817 1
Er2 Er 0.000 0.000 0.395 1
Er3 Er 0.000 0.000 0.605 1
Er4 Er 0.000 0.000 0.183 1
# DFT total energy: -0.328 Ry per atom
# V: 21.41 Å³/atom
# formation energy: -0.81 eV per atom